The following is a meta-GGA SCAN calculation of Cu2SiPb at its PBEsol-relaxed geometry, from Alexandria.

Cell: 4.0047 4.0047 15.3249 Å, 90.00 90.00 120.00°
Last column: nearest neighbours and their distance in Å.
Space group R-3m (No. 166, hexagonal axes)
One atom of each set of equivalent atoms:
Cu1 0.0000 0.0000 0.1987  3 Si 2.36, 3 Cu 2.51
Si1 0.0000 0.0000 0.5000  6 Cu 2.36
Pb1 0.0000 0.0000 0.0000  8 Cu 3.04-3.10

Results
Its energy above the most stable polymorph in this dataset is 0 meV/atom. As for the calculated total energy: -28.90 eV/atom. Its formation energy from raw total energies is 0.58 eV per formula unit. Its density of states at the Fermi level is 1.01 states/eV/f.u.



The following is a meta-GGA SCAN calculation of CuSiPbW2 at its PBEsol-relaxed geometry, from Alexandria.

Cell: 4.5092 4.5092 5.1243 Å, 90.00 90.00 90.00°
Last column: nearest neighbours and their distance in Å.
Space group P4/mmm (No. 123)
One atom of each set of equivalent atoms:
Cu1 0.0000 0.0000 0.0000  4 Pb 3.19, 8 W 3.41
Si1 0.5000 0.5000 0.5000  4 W 2.25
Pb1 0.5000 0.5000 0.0000  2 Si 2.56
W1 0.0000 0.5000 0.5000  2 Si 2.25

Results
As for the calculated total energy: -46.22 eV/atom. Its formation energy from raw total energies is 9.27 eV per formula unit. Its density of states at the Fermi level is 3.45 states/eV/f.u.



The following is a meta-GGA SCAN calculation of Sm5CuPb3 at its PBEsol-relaxed geometry, from Alexandria.

Cell: 9.2946 9.2946 6.6284 Å, 90.00 90.00 120.00°
Last column: nearest neighbours and their distance in Å.
Space group P6_3/mcm (No. 193)
One atom of each set of equivalent atoms:
Sm1 0.0000 0.2576 0.2500  2 Cu 2.91, 2 Pb 3.16
Sm2 0.3333 0.6667 0.0000  2 Sm 3.31, 6 Pb 3.33
Cu1 0.0000 0.0000 0.0000  6 Sm 2.91
Pb1 0.0000 0.3857 0.7500  9 Sm 3.16-3.52

Results
As for the calculated total energy: -52.35 eV/atom. Its density of states at the Fermi level is 6.89 states/eV/f.u.



The following is a meta-GGA SCAN calculation of ZrCuSnPb2 at its PBEsol-relaxed geometry, from Alexandria.

Cell: 5.5868 5.5868 5.4158 Å, 90.00 90.00 90.00°
Last column: nearest neighbours and their distance in Å.
Space group P4/mmm (No. 123)
One atom of each set of equivalent atoms:
Zr1 0.0000 0.0000 0.0000  2 Sn 2.71
Cu1 0.5000 0.5000 0.0000  8 Pb 3.89, 4 Zr 3.95
Sn1 0.0000 0.0000 0.5000  2 Zr 2.71, 4 Pb 2.79
Pb1 0.0000 0.5000 0.5000  2 Sn 2.79

Results
As for the calculated total energy: -45.51 eV/atom. Its density of states at the Fermi level is 4.24 states/eV/f.u.



The following is a meta-GGA SCAN calculation of Sr2ZrCuPb at its PBEsol-relaxed geometry, from Alexandria.

Cell: 6.1594 6.1594 5.4915 Å, 90.00 90.00 90.00°
Last column: nearest neighbours and their distance in Å.
Space group P4/mmm (No. 123)
One atom of each set of equivalent atoms:
Sr1 0.0000 0.5000 0.0000  2 Pb 3.08
Zr1 0.0000 0.0000 0.5000  2 Pb 2.75
Cu1 0.5000 0.5000 0.5000  8 Sr 4.13, 4 Zr 4.36
Pb1 0.0000 0.0000 0.0000  2 Zr 2.75

Results
As for the calculated total energy: -32.63 eV/atom. Its density of states at the Fermi level is 5.38 states/eV/f.u.



The following is a meta-GGA SCAN calculation of TaCuPb at its PBEsol-relaxed geometry, from Alexandria.

Cell: 4.5349 4.5349 2.9814 Å, 90.00 90.00 120.00°
Last column: nearest neighbours and their distance in Å.
Space group P3m1 (No. 156)
One atom of each set of equivalent atoms:
Ta1 0.0000 0.0000 0.0000  2 Ta 2.98, 6 Cu 3.00-3.03, 6 Pb 3.01-3.02
Cu1 0.3333 0.6667 0.5093  3 Pb 2.62
Pb1 0.6667 0.3333 0.4974  3 Cu 2.62

Results
As for the calculated total energy: -51.90 eV/atom. Its density of states at the Fermi level is 1.58 states/eV/f.u.



The following is a meta-GGA SCAN calculation of Ta2CuPb at its PBEsol-relaxed geometry, from Alexandria.

Cell: 3.9995 4.4130 8.0127 Å, 90.00 90.00 90.00°
Last column: nearest neighbours and their distance in Å.
Space group Cmmm (No. 65)
One atom of each set of equivalent atoms:
Ta1 0.0000 0.0000 0.2101  4 Cu 2.61-2.78
Cu1 0.0000 0.5000 0.0000  8 Ta 2.61-2.78
Pb1 0.0000 0.5000 0.5000  4 Pb 2.98, 8 Ta 3.07-3.20

Results
As for the calculated total energy: -55.63 eV/atom. Its density of states at the Fermi level is 3.05 states/eV/f.u.



The following is a meta-GGA SCAN calculation of TaCuPb2 at its PBEsol-relaxed geometry, from Alexandria.

Cell: 3.2820 3.8674 6.2925 Å, 90.00 90.00 90.00°
Last column: nearest neighbours and their distance in Å.
Space group Pmmm (No. 47)
One atom of each set of equivalent atoms:
Ta1 0.0000 0.0000 0.0000  8 Pb 3.02, 2 Cu 3.15, 2 Ta 3.28
Cu1 0.0000 0.0000 0.5000  8 Pb 2.95, 2 Ta 3.15, 2 Cu 3.28
Pb1 0.5000 0.5000 0.2593  4 Cu 2.95, 4 Ta 3.02, 4 Pb 3.03-3.28

Results
Its energy above the most stable polymorph in this dataset is 95 meV/atom. As for the calculated total energy: -57.74 eV/atom. Its density of states at the Fermi level is 2.33 states/eV/f.u.



The following is a meta-GGA SCAN calculation of TaCuPb2 at its PBEsol-relaxed geometry, from Alexandria.

Cell: 3.0898 4.9884 10.6560 Å, 90.00 90.00 90.00°
Last column: nearest neighbours and their distance in Å.
Space group Imm2 (No. 44)
One atom of each set of equivalent atoms:
Ta1 0.0000 0.0000 0.0000  2 Cu 2.63
Cu1 0.0000 0.5000 0.7002  2 Ta 2.63, 4 Pb 2.95
Pb1 0.0000 0.0000 0.4373  2 Cu 2.96, 4 Ta 3.01, 2 Pb 3.09
Pb2 0.0000 0.5000 0.2260  4 Cu 2.95, 2 Pb 3.09

Results
Its energy above the most stable polymorph in this dataset is 0 meV/atom. As for the calculated total energy: -57.83 eV/atom. Its density of states at the Fermi level is 2.36 states/eV/f.u.



The following is a meta-GGA SCAN calculation of TaCuPb2 at its PBEsol-relaxed geometry, from Alexandria.

Cell: 4.2717 4.2717 8.7853 Å, 90.00 90.00 90.00°
Last column: nearest neighbours and their distance in Å.
Space group I4/mmm (No. 139)
One atom of each set of equivalent atoms:
Ta1 0.0000 0.0000 0.0000  4 Cu 3.02, 8 Pb 3.06
Cu1 0.0000 0.0000 0.5000  4 Ta 3.02, 8 Pb 3.06
Pb1 0.0000 0.5000 0.2500  4 Pb 3.02, 4 Ta 3.06, 4 Cu 3.06

Results
Its energy above the most stable polymorph in this dataset is 174 meV/atom. As for the calculated total energy: -57.66 eV/atom. Its density of states at the Fermi level is 1.28 states/eV/f.u.



The following is a meta-GGA SCAN calculation of Tb5CuPb3 at its PBEsol-relaxed geometry, from Alexandria.

Cell: 9.1161 9.1161 6.5584 Å, 90.00 90.00 120.00°
Last column: nearest neighbours and their distance in Å.
Space group P6_3/mcm (No. 193)
One atom of each set of equivalent atoms:
Tb1 0.0000 0.2551 0.2500  2 Cu 2.85, 2 Pb 3.11
Tb2 0.3333 0.6667 0.0000  6 Pb 3.26, 2 Tb 3.28
Cu1 0.0000 0.0000 0.0000  6 Tb 2.85
Pb1 0.0000 0.3880 0.7500  7 Tb 3.11-3.26

Results
As for the calculated total energy: -53.63 eV/atom. Its density of states at the Fermi level is 6.72 states/eV/f.u.



The following is a meta-GGA SCAN calculation of CuTc2Pb at its PBEsol-relaxed geometry, from Alexandria.

Cell: 3.9692 4.2238 7.3727 Å, 90.00 90.00 90.00°
Last column: nearest neighbours and their distance in Å.
Space group Imm2 (No. 44)
One atom of each set of equivalent atoms:
Cu1 0.0000 0.0000 0.0000  4 Pb 2.73-2.78, 8 Tc 2.73-2.90
Tc1 0.0000 0.0000 0.5144  4 Tc 2.61-2.90, 4 Pb 2.76, 4 Cu 2.90
Tc2 0.0000 0.5000 0.2452  4 Tc 2.61-2.90, 4 Cu 2.73-2.78, 4 Pb 2.90
Pb1 0.0000 0.5000 0.7546  4 Cu 2.73-2.78, 8 Tc 2.76-2.90

Results
As for the calculated total energy: -39.69 eV/atom. Its density of states at the Fermi level is 2.85 states/eV/f.u.



> calculated total energy of number 8 (TaCuPb2)?

-57.74 eV/atom



> Look up the calculated total energy of the second one.

-46.22 eV/atom